#w
{"formula": "Sb2TeAsRu", "functional": "PBE", "state": "optimized geometry", "magmom_total_mub_per_cell": 0.00, "crystal_system": "tetragonal", "rho_g_cm3": 6.69, "cell": [[5.022, 0.000, 0.000], [0.000, 5.022, 0.000], [0.000, 0.000, 5.389]], "species": ["Sb", "Sb", "Te", "As", "Ru"], "fractional_positions": [[0.000, 0.500, 0.000], [0.500, 0.000, 0.000], [0.000, 0.000, 0.500], [0.500, 0.500, 0.500], [0.000, 0.000, 0.000]]}

#x
{"formula": "Sb2TeAsRu", "functional": "PBE", "state": "optimized geometry", "magmom_total_mub_per_cell": 1.87, "crystal_system": "tetragonal", "rho_g_cm3": 6.20, "cell": [[5.212, 0.000, 0.000], [0.000, 5.212, 0.000], [0.000, 0.000, 5.396]], "species": ["Sb", "Sb", "Te", "As", "Ru"], "fractional_positions": [[0.000, 0.500, 0.000], [0.500, 0.000, 0.000], [0.000, 0.000, 0.500], [0.000, 0.000, 0.000], [0.500, 0.500, 0.500]]}

The structure with the most favorable energy is #w; the runner-up is 734 meV/atom above it.

#w
{"formula": "ScAs2Ru", "functional": "PBE", "state": "optimized geometry", "magmom_total_mub_per_cell": 0.00, "crystal_system": "tetragonal", "rho_g_cm3": 6.39, "cell": [[3.068, 0.000, 0.000], [0.000, 3.068, 0.000], [0.000, 0.000, 8.163]], "species": ["Sc", "As", "As", "Ru"], "fractional_positions": [[0.000, 0.000, 0.000], [0.000, 0.000, 0.608], [0.500, 0.500, 0.237], [0.500, 0.500, 0.767]]}

#x
{"formula": "ScAs2Ru", "functional": "PBE", "state": "optimized geometry", "magmom_total_mub_per_cell": 0.00, "crystal_system": "tetragonal", "rho_g_cm3": 7.46, "cell": [[4.550, 0.000, 0.000], [0.000, 4.550, 0.000], [0.000, 0.000, 3.182]], "species": ["Sc", "As", "As", "Ru"], "fractional_positions": [[0.000, 0.000, 0.000], [0.000, 0.500, 0.500], [0.500, 0.000, 0.500], [0.500, 0.500, 0.000]]}

The structure with the most favorable energy is #x; the runner-up is 41 meV/atom above it.

#w
{"formula": "ScAs3Ru", "functional": "PBE", "state": "optimized geometry", "magmom_total_mub_per_cell": 0.00, "crystal_system": "cubic", "rho_g_cm3": 5.57, "cell": [[4.799, 0.000, 0.000], [0.000, 4.799, 0.000], [0.000, 0.000, 4.799]], "species": ["Sc", "As", "As", "As", "Ru"], "fractional_positions": [[0.000, 0.000, 0.000], [0.000, 0.500, 0.500], [0.500, 0.000, 0.500], [0.500, 0.500, 0.000], [0.500, 0.500, 0.500]]}

#x
{"formula": "ScAs3Ru", "functional": "PBE", "state": "optimized geometry", "magmom_total_mub_per_cell": 2.17, "crystal_system": "cubic", "rho_g_cm3": 4.96, "cell": [[4.989, 0.000, 0.000], [0.000, 4.989, 0.000], [0.000, 0.000, 4.989]], "species": ["Sc", "As", "As", "As", "Ru"], "fractional_positions": [[0.000, 0.000, 0.000], [0.000, 0.000, 0.500], [0.000, 0.500, 0.000], [0.500, 0.000, 0.000], [0.500, 0.500, 0.500]]}

The structure with the most favorable energy is #w; the runner-up is 689 meV/atom above it.

#w
{"formula": "Sc3AsRu", "functional": "PBE", "state": "optimized geometry", "magmom_total_mub_per_cell": 0.00, "crystal_system": "cubic", "rho_g_cm3": 4.33, "cell": [[4.922, 0.000, 0.000], [0.000, 4.922, 0.000], [0.000, 0.000, 4.922]], "species": ["Sc", "Sc", "Sc", "As", "Ru"], "fractional_positions": [[0.000, 0.000, 0.500], [0.000, 0.500, 0.000], [0.500, 0.000, 0.000], [0.500, 0.500, 0.500], [0.000, 0.000, 0.000]]}

#x
{"formula": "Sc3AsRu", "functional": "PBE", "state": "optimized geometry", "magmom_total_mub_per_cell": 0.00, "crystal_system": "cubic", "rho_g_cm3": 4.37, "cell": [[4.907, 0.000, 0.000], [0.000, 4.907, 0.000], [0.000, 0.000, 4.907]], "species": ["Sc", "Sc", "Sc", "As", "Ru"], "fractional_positions": [[0.000, 0.000, 0.500], [0.000, 0.500, 0.000], [0.500, 0.000, 0.000], [0.000, 0.000, 0.000], [0.500, 0.500, 0.500]]}

The structure with the most favorable energy is #w; the runner-up is 309 meV/atom above it.

#w
{"formula": "ScAs2RuSe", "functional": "PBE", "state": "optimized geometry", "magmom_total_mub_per_cell": 0.00, "crystal_system": "tetragonal", "rho_g_cm3": 5.43, "cell": [[4.631, 0.000, 0.000], [0.000, 4.631, 0.000], [0.000, 0.000, 5.344]], "species": ["Sc", "As", "As", "Ru", "Se"], "fractional_positions": [[0.000, 0.000, 0.000], [0.000, 0.500, 0.500], [0.500, 0.000, 0.500], [0.500, 0.500, 0.500], [0.500, 0.500, 0.000]]}

#x
{"formula": "ScAs2RuSe", "functional": "PBE", "state": "optimized geometry", "magmom_total_mub_per_cell": 2.08, "crystal_system": "tetragonal", "rho_g_cm3": 4.90, "cell": [[5.045, 0.000, 0.000], [0.000, 5.045, 0.000], [0.000, 0.000, 4.993]], "species": ["Sc", "As", "As", "Ru", "Se"], "fractional_positions": [[0.000, 0.000, 0.000], [0.000, 0.500, 0.000], [0.500, 0.000, 0.000], [0.500, 0.500, 0.500], [0.000, 0.000, 0.500]]}

The structure with the most favorable energy is #w; the runner-up is 676 meV/atom above it.

#w
{"formula": "AsRuSe3", "functional": "PBE", "state": "optimized geometry", "magmom_total_mub_per_cell": 3.47, "crystal_system": "cubic", "rho_g_cm3": 5.54, "cell": [[4.982, 0.000, 0.000], [0.000, 4.982, 0.000], [0.000, 0.000, 4.982]], "species": ["As", "Ru", "Se", "Se", "Se"], "fractional_positions": [[0.000, 0.000, 0.000], [0.500, 0.500, 0.500], [0.000, 0.000, 0.500], [0.000, 0.500, 0.000], [0.500, 0.000, 0.000]]}

#x
{"formula": "AsRuSe3", "functional": "PBE", "state": "optimized geometry", "magmom_total_mub_per_cell": 0.00, "crystal_system": "cubic", "rho_g_cm3": 6.06, "cell": [[4.838, 0.000, 0.000], [0.000, 4.838, 0.000], [0.000, 0.000, 4.838]], "species": ["As", "Ru", "Se", "Se", "Se"], "fractional_positions": [[0.000, 0.000, 0.000], [0.500, 0.500, 0.500], [0.000, 0.500, 0.500], [0.500, 0.000, 0.500], [0.500, 0.500, 0.000]]}

The structure with the most favorable energy is #x; the runner-up is 502 meV/atom above it.

#w
{"formula": "SiAs2RuSe", "functional": "PBE", "state": "optimized geometry", "magmom_total_mub_per_cell": 0.00, "crystal_system": "tetragonal", "rho_g_cm3": 5.99, "cell": [[4.607, 0.000, 0.000], [0.000, 4.607, 0.000], [0.000, 0.000, 4.673]], "species": ["Si", "As", "As", "Ru", "Se"], "fractional_positions": [[0.000, 0.000, 0.000], [0.000, 0.500, 0.000], [0.500, 0.000, 0.000], [0.500, 0.500, 0.500], [0.000, 0.000, 0.500]]}

#x
{"formula": "SiAs2RuSe", "functional": "PBE", "state": "optimized geometry", "magmom_total_mub_per_cell": 0.00, "crystal_system": "tetragonal", "rho_g_cm3": 5.16, "cell": [[4.616, 0.000, 0.000], [0.000, 4.616, 0.000], [0.000, 0.000, 5.410]], "species": ["Si", "As", "As", "Ru", "Se"], "fractional_positions": [[0.000, 0.000, 0.000], [0.000, 0.500, 0.500], [0.500, 0.000, 0.500], [0.500, 0.500, 0.500], [0.500, 0.500, 0.000]]}

The structure with the most favorable energy is #x; the runner-up is 342 meV/atom above it.

#w
{"formula": "SiAsRuSe2", "functional": "PBE", "state": "optimized geometry", "magmom_total_mub_per_cell": 0.00, "crystal_system": "tetragonal", "rho_g_cm3": 5.97, "cell": [[4.665, 0.000, 0.000], [0.000, 4.665, 0.000], [0.000, 0.000, 4.629]], "species": ["Si", "As", "Ru", "Se", "Se"], "fractional_positions": [[0.000, 0.000, 0.000], [0.000, 0.000, 0.500], [0.500, 0.500, 0.500], [0.000, 0.500, 0.000], [0.500, 0.000, 0.000]]}

#x
{"formula": "SiAsRuSe2", "functional": "PBE", "state": "optimized geometry", "magmom_total_mub_per_cell": 0.00, "crystal_system": "tetragonal", "rho_g_cm3": 5.24, "cell": [[5.011, 0.000, 0.000], [0.000, 5.011, 0.000], [0.000, 0.000, 4.569]], "species": ["Si", "As", "Ru", "Se", "Se"], "fractional_positions": [[0.000, 0.000, 0.000], [0.500, 0.500, 0.000], [0.500, 0.500, 0.500], [0.000, 0.500, 0.500], [0.500, 0.000, 0.500]]}

The structure with the most favorable energy is #x; the runner-up is 278 meV/atom above it.